# 1
## Ca5Cd2Ir2 (PBE)

Data for an optimized crystal structure of Ca5Cd2Ir2.

a = 9.258 Å, b = 9.258 Å, c = 7.708 Å
α = 90.00°, β = 90.00°, γ = 48.85°
Fractional coordinates of all 18 atoms:
Ca 0.000 0.000 0.000
Ca 0.059 0.710 0.675
Ca 0.210 0.559 0.175
Ca 0.290 0.941 0.675
Ca 0.441 0.790 0.175
Ca 0.500 0.500 0.500
Ca 0.559 0.210 0.825
Ca 0.710 0.059 0.325
Ca 0.790 0.441 0.825
Ca 0.941 0.290 0.325
Cd 0.221 0.221 0.000
Cd 0.279 0.279 0.500
Cd 0.721 0.721 0.500
Cd 0.779 0.779 0.000
Ir 0.118 0.882 0.380
Ir 0.382 0.618 0.880
Ir 0.618 0.382 0.120
Ir 0.882 0.118 0.620

***

# 2
## CaCdIr2 (PBE)

Data for an optimized crystal structure of CaCdIr2.

a = 6.131 Å, b = 6.131 Å, c = 6.131 Å
α = 101.08°, β = 101.08°, γ = 127.99°
Fractional coordinates of all 8 atoms:
Ca 0.000 0.000 0.000
Ca 0.750 0.250 0.500
Cd 0.250 0.750 0.500
Cd 0.500 0.500 0.000
Ir 0.148 0.125 0.523
Ir 0.375 0.852 0.977
Ir 0.602 0.625 0.477
Ir 0.875 0.398 0.023

***

# 3
## CaCdIr2 (PBE)

Data for an optimized crystal structure of CaCdIr2.

a = 2.886 Å, b = 4.633 Å, c = 5.645 Å
α = 90.00°, β = 102.16°, γ = 90.00°
Fractional coordinates of all 4 atoms:
Ca 0.000 0.000 0.000
Cd 0.500 0.000 0.500
Ir 0.326 0.500 0.716
Ir 0.674 0.500 0.284

***

# 4
## CaCdIr (PBE)

Data for an optimized crystal structure of CaCdIr.

a = 3.216 Å, b = 3.216 Å, c = 7.081 Å
α = 90.00°, β = 90.00°, γ = 120.00°
Fractional coordinates of all 3 atoms:
Ca 0.000 0.000 0.000
Cd 0.667 0.333 0.391
Ir 0.333 0.667 0.698

***

| no. | formation energy (eV per atom) | DFT total energy (eV per cell) | total moment (Bohr magnetons per cell) |
| --- | --- | --- | --- |
| 1 | -0.2950 | -64.43 | 0.0 |
| 2 | 0.4618 | -37.58 | 0.0 |
| 3 | 0.1159 | -20.18 | 0.0 |
| 4 | 0.1687 | -11.27 | 0.0 |